[1]
! Pr4Tl2CdRh, relaxed, DFT PBE; values from VASP
&SYSTEM
  ibrav = 0, nat = 8, ntyp = 4
/
ATOMIC_SPECIES
Tl 204.38 Tl.upf
Pr 140.91 Pr.upf
Cd 112.41 Cd.upf
Rh 102.91 Rh.upf
CELL_PARAMETERS angstrom
-3.113 -3.447 -2.868
-1.218 -4.916 2.035
-8.604 0.546 3.488
ATOMIC_POSITIONS angstrom
Tl -2.992 -2.067 0.536
Tl -9.944 -5.750 2.119
Pr -8.867 -2.792 2.589
Pr -7.208 -7.024 0.680
Pr -4.069 -5.025 0.066
Pr -5.728 -0.794 1.975
Cd 0.000 0.000 0.000
Rh -6.468 -3.909 1.328
! Calculated formation energy   -0.40 eV per atom
! Total magnetic moment   0.000 μB/atom

---

[2]
! AlNi8Ir2, relaxed, DFT PBE; values from VASP
&SYSTEM
  ibrav = 0, nat = 11, ntyp = 3
/
ATOMIC_SPECIES
Ir 192.22 Ir.upf
Ni 58.69 Ni.upf
Al 26.98 Al.upf
CELL_PARAMETERS angstrom
-1.012 -0.502 -3.452
-1.371 -5.443 1.193
-4.826 3.735 2.783
ATOMIC_POSITIONS angstrom
Ir -3.262 -1.921 1.235
Ir -3.947 -0.289 -0.712
Ni -3.690 -3.965 -0.253
Ni -1.474 -3.646 0.962
Ni -5.534 -2.168 0.026
Ni -1.675 -0.042 0.497
Ni -3.519 1.755 0.777
Ni -2.067 -2.085 -1.002
Ni -5.735 1.436 -0.438
Ni -5.142 -0.125 1.525
Al -0.506 -0.251 -1.726
! Calculated formation energy   -0.15 eV per atom
! Total magnetic moment   0.001 μB/atom

---

[3]
! MgNiHRh2, relaxed, DFT PBE; values from VASP
&SYSTEM
  ibrav = 0, nat = 5, ntyp = 4
/
ATOMIC_SPECIES
Rh 102.91 Rh.upf
H 1.01 H.upf
Ni 58.69 Ni.upf
Mg 24.30 Mg.upf
CELL_PARAMETERS angstrom
-2.806 2.807 -0.234
-1.477 -1.747 -3.252
-2.208 -2.033 2.095
ATOMIC_POSITIONS angstrom
Rh -0.738 -0.874 -1.626
Rh -1.403 1.403 -0.117
H 0.000 0.000 0.000
Ni -1.104 -1.016 1.047
Mg -3.245 -0.487 -0.695
! Raw total energy   -5.304 eV per atom
! Total magnetic moment   0.000 μB/atom